Entry from the Alexandria database: a relaxed structure of BeCo2Se (PBE-GGA).

Cell and atoms, written as POSCAR:
```
BeCo2Se
1.0
3.093 0.000 0.000
0.000 3.093 0.000
0.000 0.000 4.793
Be Co Se
1 2 1
Direct
0.000 0.000 0.000 Be
0.000 0.000 0.476 Co
0.500 0.500 0.157 Co
0.500 0.500 0.671 Se
```

Calculated values
The uncorrected formation energy comes out at 0.076 eV/atom. For the energy relative to the lowest polymorph listed for this composition, the calculation gives 0.00 eV/f.u. For the total energy, the calculation gives -5.280 eV/atom. As for the space group: P4mm, No. 99.